# 1
Tl2PPd8: optimized geometry, PBE.

Unit cell a=4.592 b=5.792 c=7.839 alpha=111.53 beta=107.03 gamma=90.00
Fractional positions:
Tl  0.816  0.316  0.632
Tl  0.184  0.684  0.368
P  0.500  0.000  0.000
Pd  0.374  0.619  0.748
Pd  0.627  0.873  0.254
Pd  0.810  0.810  0.621
Pd  0.000  0.239  0.000
Pd  0.190  0.190  0.379
Pd  0.373  0.127  0.746
Pd  0.626  0.381  0.252
Pd  0.000  0.761  0.000

***

# 2
TlPPd4: optimized geometry, PBE.

Unit cell a=4.664 b=6.291 c=7.980 alpha=113.21 beta=105.87 gamma=90.00
Fractional positions:
Tl  0.803  0.809  0.618
Tl  0.197  0.191  0.382
P  0.366  0.549  0.098
P  0.634  0.451  0.902
Pd  0.188  0.684  0.367
Pd  0.354  0.091  0.728
Pd  0.000  0.233  0.000
Pd  0.646  0.363  0.272
Pd  0.812  0.316  0.633
Pd  0.646  0.909  0.272
Pd  0.000  0.767  0.000
Pd  0.354  0.637  0.728

***

# 3
TmTl2P2Pd7: optimized geometry, PBE.

Unit cell a=4.073 b=4.073 c=13.668 alpha=83.78 beta=83.78 gamma=89.97
Fractional positions:
Tm  0.000  0.000  0.000
Tl  0.894  0.894  0.386
Tl  0.106  0.106  0.614
P  0.587  0.587  0.753
P  0.413  0.413  0.247
Pd  0.500  0.500  0.000
Pd  0.382  0.382  0.417
Pd  0.618  0.618  0.583
Pd  0.944  0.442  0.156
Pd  0.442  0.944  0.156
Pd  0.558  0.056  0.844
Pd  0.056  0.558  0.844

***

# 4
TmPPd6: optimized geometry, PBE.

Unit cell a=5.573 b=5.573 c=6.497 alpha=64.60 beta=64.60 gamma=60.00
Fractional positions:
Tm  0.500  0.500  0.500
P  0.000  0.000  0.000
Pd  0.915  0.915  0.736
Pd  0.433  0.915  0.736
Pd  0.085  0.567  0.264
Pd  0.567  0.085  0.264
Pd  0.085  0.085  0.264
Pd  0.915  0.433  0.736

***

# 5
Tm4P6Pd5: optimized geometry, PBE.

Unit cell a=3.991 b=9.390 c=14.509 alpha=90.00 beta=90.00 gamma=102.27
Fractional positions:
Tm  0.963  0.927  0.269
Tm  0.037  0.073  0.769
Tm  0.165  0.330  0.301
Tm  0.835  0.670  0.801
Tm  0.816  0.632  0.445
Tm  0.184  0.368  0.945
Tm  0.010  0.021  0.509
Tm  0.990  0.979  0.009
P  0.765  0.530  0.261
P  0.431  0.862  0.406
P  0.781  0.562  0.988
P  0.219  0.438  0.488
P  0.447  0.894  0.853
P  0.553  0.106  0.353
P  0.426  0.852  0.129
P  0.574  0.148  0.629
P  0.116  0.231  0.117
P  0.884  0.769  0.617
P  0.569  0.138  0.906
P  0.235  0.470  0.761
Pd  0.447  0.894  0.676
Pd  0.553  0.106  0.176
Pd  0.151  0.301  0.631
Pd  0.849  0.699  0.131
Pd  0.641  0.283  0.470
Pd  0.359  0.717  0.970
Pd  0.304  0.608  0.617
Pd  0.696  0.392  0.117
Pd  0.341  0.683  0.284
Pd  0.659  0.317  0.784

***

# 6
TmPPd2: optimized geometry, PBE.

Unit cell a=3.847 b=4.039 c=9.481 alpha=90.00 beta=101.71 gamma=90.00
Fractional positions:
Tm  0.391  0.250  0.781
Tm  0.609  0.750  0.219
P  0.169  0.250  0.339
P  0.831  0.750  0.661
Pd  0.745  0.250  0.490
Pd  0.255  0.750  0.510
Pd  0.046  0.250  0.092
Pd  0.954  0.750  0.908

***

# 7
TmP2Pd7: optimized geometry, PBE.

Unit cell a=4.035 b=4.035 c=10.324 alpha=101.27 beta=101.27 gamma=90.00
Fractional positions:
Tm  0.000  0.000  0.000
P  0.675  0.675  0.349
P  0.325  0.325  0.651
Pd  0.107  0.607  0.215
Pd  0.393  0.893  0.785
Pd  0.607  0.107  0.215
Pd  0.500  0.500  0.000
Pd  0.750  0.250  0.500
Pd  0.893  0.393  0.785
Pd  0.250  0.750  0.500

***

# 8
Tm3P4Pd7: optimized geometry, PBE.

Unit cell a=3.974 b=7.899 c=8.185 alpha=71.08 beta=75.95 gamma=75.43
Fractional positions:
Tm  0.320  0.183  0.176
Tm  0.680  0.817  0.824
Tm  0.000  0.500  0.500
P  0.659  0.434  0.248
P  0.341  0.566  0.752
P  0.894  0.893  0.320
P  0.106  0.107  0.680
Pd  0.305  0.859  0.531
Pd  0.490  0.236  0.784
Pd  0.832  0.415  0.921
Pd  0.695  0.141  0.469
Pd  0.168  0.585  0.079
Pd  0.000  0.000  0.000
Pd  0.510  0.764  0.216

***

Number 1: magnetic moment 0.000 μB/f.u., formation energy from the elements -6.14 kcal/mol of atoms. Number 2: magnetic moment 0.000 μB/f.u., formation energy from the elements -5.46 kcal/mol of atoms. Number 3: magnetic moment 0.000 μB/f.u., formation energy from the elements -11.47 kcal/mol of atoms. Number 4: magnetic moment 0.000 μB/f.u., formation energy from the elements -10.41 kcal/mol of atoms. Number 5: magnetic moment 0.000 μB/f.u., formation energy from the elements -23.85 kcal/mol of atoms. Number 6: magnetic moment 0.000 μB/f.u., formation energy from the elements -20.73 kcal/mol of atoms. Number 7: magnetic moment 0.000 μB/f.u., formation energy from the elements -15.68 kcal/mol of atoms. Number 8: magnetic moment 0.000 μB/f.u., formation energy from the elements -22.73 kcal/mol of atoms.